VASP calculation (GGA-PBE) on Sn6SbTe3Se2 after structural relaxation. Values from VASP.

Results
Formation energy without anion corrections (meV per atom): -262
Uncorrected energy (eV per atom): -3.9729
SG: No. 12

The structure in Quantum ESPRESSO input format:
```
&SYSTEM
  ibrav = 0, nat = 12, ntyp = 4
/
ATOMIC_SPECIES
Se 78.96 Se.upf
Sn 118.71 Sn.upf
Te 127.60 Te.upf
Sb 121.76 Sb.upf
ATOMIC_POSITIONS crystal
Se 0.669 0.331 0.000
Sn 0.414 0.078 0.234
Sn 0.744 0.744 0.238
Te 0.838 0.162 0.500
Sn 0.922 0.586 0.766
Sn 0.078 0.414 0.234
Sn 0.586 0.922 0.766
Se 0.331 0.669 0.000
Sb 0.000 0.000 0.000
Te 0.162 0.838 0.500
Te 0.500 0.500 0.500
Sn 0.256 0.256 0.762
CELL_PARAMETERS angstrom
7.664 -0.013 0.000
-3.841 6.632 0.000
-1.275 -2.207 7.170
```